Record 1
A plane-wave DFT calculation with PBE was carried out for AlRh2O after structural relaxation.

Cell lengths 4.433, 4.433, 7.120 Å; angles 71.86, 71.86, 90.00 degrees
Fractional positions:
Rh (0.525, 0.125, 0.250)
Rh (0.225, 0.625, 0.250)
Rh (0.375, 0.475, 0.750)
Rh (0.875, 0.775, 0.750)
Al (0.000, 0.000, 0.000)
Al (0.750, 0.250, 0.500)
O (0.500, 0.500, 0.000)
O (0.250, 0.750, 0.500)

## Properties
The calculation puts the theoretical density at 6.58 g/cm3. The energy relative to the elements, uncorrected comes out at -0.13 eV per atom. As for the space group: I-42d, No. 122.


Record 2
A plane-wave DFT calculation with PBE was carried out for AlRh6O12 after structural relaxation.

Cell lengths 5.918, 5.918, 5.918 Å; angles 98.44, 98.44, 98.44 degrees
Last column: magnetic moment on the atom in μB.
Fractional positions:
Al (0.000, 0.000, 0.000)  0.01
Rh (0.714, 0.863, 0.425)  0.28
Rh (0.575, 0.286, 0.137)  0.28
Rh (0.137, 0.575, 0.286)  0.28
Rh (0.286, 0.137, 0.575)  0.28
Rh (0.425, 0.714, 0.863)  0.28
Rh (0.863, 0.425, 0.714)  0.28
O (0.822, 0.557, 0.407)  0.01
O (0.407, 0.822, 0.557)  0.01
O (0.557, 0.407, 0.822)  0.01
O (0.178, 0.443, 0.593)  0.01
O (0.593, 0.178, 0.443)  0.01
O (0.443, 0.593, 0.178)  0.01
O (0.055, 0.958, 0.313)  0.11
O (0.042, 0.687, 0.945)  0.11
O (0.687, 0.945, 0.042)  0.11
O (0.945, 0.042, 0.687)  0.11
O (0.958, 0.313, 0.055)  0.11
O (0.313, 0.055, 0.958)  0.11

## Properties
The calculation puts the theoretical density at 6.95 g/cm3. The energy relative to the elements, uncorrected comes out at -0.77 eV per atom. As for the space group: R-3, No. 148.


Record 3
A plane-wave DFT calculation with PBE was carried out for Al2RhO2 after structural relaxation.

Cell lengths 6.649, 6.649, 3.014 Å; angles 90.00, 90.00, 90.00 degrees
Fractional positions:
Rh (0.000, 0.000, 0.000)
Rh (0.500, 0.500, 0.000)
Al (0.267, 0.767, 0.500)
Al (0.767, 0.733, 0.500)
Al (0.733, 0.233, 0.500)
Al (0.233, 0.267, 0.500)
O (0.361, 0.861, 0.000)
O (0.861, 0.639, 0.000)
O (0.639, 0.139, 0.000)
O (0.139, 0.361, 0.000)

## Properties
The calculation puts the theoretical density at 4.71 g/cm3. The energy relative to the elements, uncorrected comes out at -1.17 eV per atom. As for the space group: P4/mbm, No. 127.


Record 4
A plane-wave DFT calculation with PBE was carried out for AlRh2O after structural relaxation.

Cell lengths 4.147, 4.147, 4.147 Å; angles 60.00, 60.00, 60.00 degrees
Fractional positions:
Rh (0.250, 0.250, 0.250)
Rh (0.750, 0.750, 0.750)
Al (0.500, 0.500, 0.500)
O (0.000, 0.000, 0.000)

## Properties
The calculation puts the theoretical density at 8.19 g/cm3. The energy relative to the elements, uncorrected comes out at -0.02 eV per atom. As for the space group: Fm-3m, No. 225.


Record 5
A plane-wave DFT calculation with PBE was carried out for AlRhO2 after structural relaxation.

Cell lengths 6.299, 6.299, 6.299 Å; angles 25.82, 25.82, 25.82 degrees
Last column: magnetic moment on the atom in μB.
Fractional positions:
Rh (0.000, 0.000, 0.000)  0.65
Al (0.500, 0.500, 0.500)  0.00
O (0.887, 0.887, 0.887)  0.02
O (0.113, 0.113, 0.113)  0.02

## Properties
The calculation puts the theoretical density at 6.44 g/cm3. The energy relative to the elements, uncorrected comes out at -1.92 eV per atom. As for the space group: R-3m, No. 166.


Record 6
A plane-wave DFT calculation with PBE was carried out for AlRhO3 after structural relaxation.

Cell lengths 3.624, 3.624, 3.624 Å; angles 90.00, 90.00, 90.00 degrees
Fractional positions:
Rh (0.500, 0.500, 0.500)
Al (0.000, 0.000, 0.000)
O (0.000, 0.500, 0.000)
O (0.000, 0.000, 0.500)
O (0.500, 0.000, 0.000)

## Properties
The calculation puts the theoretical density at 6.20 g/cm3. The energy relative to the elements, uncorrected comes out at -1.06 eV per atom. As for the space group: Pm-3m, No. 221.


Record 7
A plane-wave DFT calculation with PBE was carried out for Al2RhO2 after structural relaxation.

Cell lengths 4.001, 4.001, 4.714 Å; angles 64.88, 64.88, 90.00 degrees
Fractional positions:
Rh (0.000, 0.000, 0.000)
Al (0.750, 0.250, 0.500)
Al (0.250, 0.750, 0.500)
O (0.278, 0.278, 0.444)
O (0.722, 0.722, 0.556)

## Properties
The calculation puts the theoretical density at 5.20 g/cm3. The energy relative to the elements, uncorrected comes out at -1.15 eV per atom. As for the space group: I4/mmm, No. 139.


Record 8
A plane-wave DFT calculation with PBE was carried out for Al3RhO after structural relaxation.

Cell lengths 4.626, 4.626, 4.626 Å; angles 90.00, 90.00, 90.00 degrees
Fractional positions:
Rh (0.000, 0.000, 0.000)
Al (0.000, 0.500, 0.000)
Al (0.000, 0.000, 0.500)
Al (0.500, 0.000, 0.000)
O (0.500, 0.500, 0.500)

## Properties
The calculation puts the theoretical density at 3.35 g/cm3. The energy relative to the elements, uncorrected comes out at -0.02 eV per atom. As for the space group: Pm-3m, No. 221.


The lowest energy relative to the elements, uncorrected belongs to which entry?
AlRhO2


Number 8 is which compound?
Al3RhO


What is the energy relative to the elements, uncorrected in the third record?
-1.17 eV per atom


energy relative to the elements, uncorrected of number 4 (AlRh2O)?
-0.02 eV per atom